A relaxed structure of Zr2Ag2Cl. Source: Alexandria, functional PBE.

Unit cell a=6.758 b=6.758 c=4.657 alpha=90.00 beta=90.00 gamma=90.00
Atoms (fractional coordinates):
Zr: 0.160 0.340 0.000
Zr: 0.340 0.840 0.000
Zr: 0.660 0.160 0.000
Zr: 0.840 0.660 0.000
Ag: 0.144 0.644 0.500
Ag: 0.356 0.144 0.500
Ag: 0.644 0.856 0.500
Ag: 0.856 0.356 0.500
Cl: 0.000 0.000 0.000
Cl: 0.500 0.500 0.000

Computed properties:
final energy: -51.48 eV per cell
ΔE_f (raw): -0.22 eV/atom


A relaxed structure of ZrAg3Cl. Source: Alexandria, functional PBE.

Unit cell a=5.433 b=5.433 c=5.433 alpha=90.00 beta=90.00 gamma=90.00
Atoms (fractional coordinates):
Zr: 0.000 0.000 0.000
Ag: 0.000 0.000 0.500
Ag: 0.000 0.500 0.000
Ag: 0.500 0.000 0.000
Cl: 0.500 0.500 0.500

Computed properties:
final energy: -13.50 eV per cell
ΔE_f (raw): 1.09 eV/atom


A relaxed structure of CoAg. Source: Alexandria, functional PBE.

Unit cell a=5.021 b=5.021 c=4.557 alpha=112.26 beta=112.26 gamma=33.85
Atoms (fractional coordinates):
Co: 0.153 0.153 0.396
Co: 0.847 0.847 0.604
Ag: 0.389 0.389 0.145
Ag: 0.611 0.611 0.855

Computed properties:
energy of formation: 0.397 eV/atom
final energy: -18.33 eV per cell